DFT (PBE) results for crystalline Sm2AsS at its relaxed geometry.

Values from the calculation:
Energy relative to the elements, uncorrected, eV per atom: -1.8020
Volume, Å³/cell: 98.8
E, eV per atom: -6.356
Excess energy over the best structure of this formula in the dataset, eV per atom: 0.004

```
Sm2AsS
1.0
2.064 1.192 6.692
-2.064 1.192 6.692
0.000 -2.384 6.692
Sm As S
2 1 1
Cartesian
0.000 0.000 5.007
0.000 0.000 15.071
0.000 0.000 0.000
0.000 0.000 10.039
```

DFT (PBE) results for crystalline Sm6As5S at its relaxed geometry.

Values from the calculation:
Energy relative to the elements, uncorrected, eV per atom: -1.6406
Volume, Å³/cell: 311.0
E, eV per atom: -6.281

```
Sm6As5S
1.0
3.625 -6.273 0.000
3.625 6.273 0.000
-2.414 0.000 6.838
Sm As S
6 5 1
Cartesian
0.000 2.088 5.126
1.206 0.000 1.703
0.000 -2.088 5.126
4.835 2.088 1.712
3.630 0.000 5.135
4.835 -2.088 1.712
3.625 4.177 0.000
2.418 2.092 3.419
3.625 0.000 0.000
2.418 -2.092 3.419
3.625 -4.177 0.000
-1.207 0.000 3.419
```